{"formula": "Dy2Sc6O", "functional": "PBE", "state": "optimized geometry", "rho_g_cm3": 4.86, "dos_at_fermi_per_ev_atom": 1.446, "e_tot_ev_per_cell": -114.51, "total_magnetization_mub_per_cell": 0.00, "lattice": [[-5.833, 2.662, -1.680], [0.092, -3.393, -5.692], [-4.507, -7.212, 4.226]], "species": ["Dy", "Dy", "Dy", "Dy", "Sc", "Sc", "Sc", "Sc", "Sc", "Sc", "Sc", "Sc", "Sc", "Sc", "Sc", "Sc", "O", "O"], "fractional_positions": [[0.000, 0.500, 0.750], [0.500, 0.000, 0.750], [0.500, 0.000, 0.250], [0.000, 0.500, 0.250], [0.000, 0.000, 0.262], [0.759, 0.759, 0.500], [0.741, 0.741, 0.000], [0.759, 0.241, 0.500], [0.741, 0.259, 0.000], [0.500, 0.500, 0.238], [0.000, 0.000, 0.738], [0.241, 0.241, 0.500], [0.259, 0.259, 0.000], [0.241, 0.759, 0.500], [0.259, 0.741, 0.000], [0.500, 0.500, 0.762], [0.500, 0.500, 0.000], [0.000, 0.000, 0.500]]}